No. 1
This record from Alexandria describes an optimized crystal structure of Zn2PtW. The functional is GGA-PBEsol.

a = 2.6877 Å, b = 4.3364 Å, c = 5.0108 Å
α = 90.00°, β = 92.69°, γ = 90.00°
With the nearest neighbours (Å) after each atom.
Element x y z (fractional)
W 0.0000 0.5000 0.5000  2 W 2.69, 8 Zn 2.73-2.91, 4 Pt 2.79-2.90
Pt 0.5000 0.5000 0.0000  4 Zn 2.55, 2 Pt 2.69, 2 W 2.79
Zn 0.4099 0.0000 0.2610  4 Zn 2.42-2.69, 2 Pt 2.55
Zn 0.5901 0.0000 0.7390  4 Zn 2.42-2.69, 2 Pt 2.55

E_tot: -23.9 eV per formula unit
SG: P2/m, No. 10
DOS at the Fermi energy: 0.575 states/eV per atom
Energy of formation from the pure elements: 0.001 eV per atom

No. 2
This record from Alexandria describes an optimized crystal structure of Na2ZnSi3O8. The functional is GGA-PBEsol.

a = 6.4013 Å, b = 6.6865 Å, c = 8.6280 Å
α = 90.00°, β = 90.00°, γ = 103.64°
With the nearest neighbours (Å) after each atom.
Element x y z (fractional)
O 0.4227 0.1125 0.8273  2 Si 1.65
O 0.2103 0.4283 0.3109  1 Si 1.62
Zn 0.9646 0.6075 0.9971  4 O 1.94-1.95
O 0.6582 0.9916 0.0316  2 Si 1.65
O 0.6308 0.8130 0.6255  2 Si 1.64-1.67
O 0.0637 0.3540 0.0128  1 Si 1.61
Na 0.4080 0.5304 0.8686  4 O 2.38-2.57
Si 0.4092 0.0115 0.0027  4 O 1.59-1.65
Si 0.8516 0.7326 0.6688  4 O 1.61-1.67
O 0.7897 0.5717 0.8109  1 Si 1.62
O 0.9790 0.0553 0.2331  2 Si 1.63-1.66
O 0.3692 0.1870 0.1255  2 Si 1.64-1.67
O 0.7859 0.6676 0.1637  1 Si 1.60
O 0.9363 0.6460 0.5128  1 Si 1.61
Na 0.5920 0.4696 0.3686  4 O 2.38-2.57
O 0.5773 0.8875 0.3273  2 Si 1.65
Si 0.2472 0.1039 0.6853  4 O 1.60-1.65
O 0.0210 0.9447 0.7331  2 Si 1.63-1.66
Na 0.1683 0.7794 0.3080  6 O 2.34-2.55
Si 0.5908 0.9885 0.5027  4 O 1.59-1.65
Na 0.8317 0.2206 0.8080  6 O 2.34-2.55
Si 0.7528 0.8961 0.1853  4 O 1.60-1.65
O 0.3418 0.0084 0.5316  2 Si 1.65
Si 0.1484 0.2674 0.1688  4 O 1.61-1.67
O 0.2490 0.7910 0.0193  1 Si 1.59
Zn 0.0354 0.3925 0.4971  4 O 1.94-1.95
O 0.2141 0.3324 0.6637  1 Si 1.60
O 0.7510 0.2090 0.5193  1 Si 1.59

E_tot: -97.9 eV per formula unit
SG: P2_1, No. 4
DOS at the Fermi energy: 0.000 states/eV per atom
Formation energy (no corrections): -2446 meV per atom

No. 3
This record from Alexandria describes an optimized crystal structure of CrAuO2. The functional is GGA-PBEsol.

a = 5.3906 Å, b = 5.4806 Å, c = 5.3906 Å
α = 60.54°, β = 90.00°, γ = 119.46°
With the nearest neighbours (Å) after each atom.
Element x y z (fractional)
Cr 0.2500 0.5000 0.2500  4 O 1.76
Au 0.0000 0.0000 0.0000  4 O 2.70
O 0.2693 0.7500 0.8750  2 Cr 1.76
O 0.3750 0.2500 0.2693  2 Cr 1.76
Cr 0.5000 0.0000 0.5000  4 O 1.76
O 0.8750 0.2500 0.4807  2 Cr 1.76
Au 0.7500 0.5000 0.7500  4 O 2.70
O 0.4807 0.7500 0.3750  2 Cr 1.76

E_tot: -27.5 eV per formula unit
SG: I-42d, No. 122
DOS at the Fermi energy: 0.505 states/eV per atom
Formation energy (no corrections): -717 meV per atom

No. 4
This record from Alexandria describes an optimized crystal structure of CrHg2Os. The functional is GGA-PBEsol.

a = 4.0148 Å, b = 4.0148 Å, c = 5.0032 Å
α = 113.65°, β = 113.65°, γ = 90.00°
With the nearest neighbours (Å) after each atom.
Element x y z (fractional)
Hg 0.2500 0.7500 0.5000  4 Hg 2.84, 4 Cr 2.88, 4 Os 2.88
Cr 0.0000 0.0000 0.0000  4 Os 2.84, 8 Hg 2.88
Os 0.5000 0.5000 0.0000  4 Cr 2.84, 8 Hg 2.88
Hg 0.7500 0.2500 0.5000  4 Hg 2.84, 4 Os 2.88, 4 Cr 2.88

E_tot: -20.6 eV per formula unit
SG: I4/mmm, No. 139
DOS at the Fermi energy: 1.308 states/eV per atom
Energy of formation from the pure elements: 0.745 eV per atom

Q: Which of these has the lowest E_tot?
A: Na2ZnSi3O8